The following is a DFT calculation (PBE-GGA) of LiSiCSe2 after structural relaxation.

Cell: 4.486 3.931 4.486 Å, 90.00 90.00 90.00°
Positions (direct):
C 0.000 0.000 0.000
Si 0.500 0.500 0.500
Se 0.000 0.000 0.500
Se 0.500 0.000 0.000
Li 0.000 0.500 0.000

Results
magnetic moment = 0.00 μB/f.u.
formation energy (no corrections) = 803 meV/atom
electronic total energy = -19.5 eV for the cell shown
theoretical density = 4.30 g cm⁻³

The following is a DFT calculation (PBE-GGA) of ErMgCu after structural relaxation.

Cell: 3.345 4.679 4.679 Å, 120.00 90.00 90.00°
Positions (direct):
Er 0.667 0.667 0.333
Cu 0.167 0.000 0.000
Mg 0.166 0.333 0.667

Results
DFT formation energy = -56 meV per atom
magnetic moment = 0.00 μB/f.u.
electronic total energy = -10.4 eV for the cell shown
theoretical density = 6.68 g cm⁻³

The following is a DFT calculation (PBE-GGA) of Sr3CuSi2 after structural relaxation.

Cell: 4.239 12.994 12.514 Å, 90.00 90.00 90.00°
Positions (direct):
Si 0.750 0.519 0.203
Sr 0.250 0.699 0.202
Sr 0.750 0.875 0.439
Sr 0.250 0.801 0.702
Sr 0.750 0.199 0.298
Si 0.750 0.183 0.040
Sr 0.750 0.301 0.798
Si 0.750 0.317 0.540
Si 0.250 0.683 0.460
Cu 0.250 0.370 0.632
Sr 0.750 0.625 0.939
Cu 0.750 0.870 0.868
Si 0.250 0.019 0.297
Sr 0.750 0.945 0.115
Si 0.750 0.981 0.703
Cu 0.250 0.130 0.132
Si 0.250 0.481 0.797
Cu 0.750 0.630 0.368
Sr 0.250 0.445 0.385
Sr 0.250 0.375 0.061
Sr 0.250 0.055 0.885
Sr 0.250 0.125 0.561
Si 0.250 0.817 0.960
Sr 0.750 0.555 0.615

Results
magnetic moment = 0.00 μB/f.u.
formation energy (no corrections) = -313 meV/atom
electronic total energy = -87.5 eV for the cell shown
theoretical density = 3.69 g cm⁻³

The following is a DFT calculation (PBE-GGA) of Na2SnSb after structural relaxation.

Cell: 3.442 3.442 11.443 Å, 81.35 81.35 60.00°
Positions (direct):
Na 0.089 0.089 0.733
Na 0.911 0.911 0.267
Sn 0.500 0.500 0.500
Sb 0.000 0.000 0.000

Results
magnetic moment = 0.00 μB/f.u.
formation energy (no corrections) = -8 meV/atom
electronic total energy = -10.8 eV for the cell shown
theoretical density = 4.11 g cm⁻³

The following is a DFT calculation (PBE-GGA) of YHg2Au after structural relaxation.

Cell: 3.668 3.668 6.802 Å, 90.00 90.00 90.00°
Each line ends with the local moment (μB).
Positions (direct):
Y 0.500 0.500 0.250  0.11
Hg 0.000 0.000 0.980  0.00
Hg 0.000 0.000 0.520  0.00
Au 0.500 0.500 0.750  0.00

Results
DFT formation energy = -302 meV per atom
magnetic moment = 0.19 μB/f.u.
electronic total energy = -11.6 eV for the cell shown
theoretical density = 12.47 g cm⁻³

The following is a DFT calculation (PBE-GGA) of La3Th2UP6 after structural relaxation.

Cell: 4.158 8.373 9.344 Å, 103.40 102.86 90.00°
Each line ends with the local moment (μB).
Positions (direct):
P 0.340 0.915 0.680  -0.02
P 0.001 0.233 0.002  -0.04
P 0.999 0.767 0.998  -0.04
P 0.331 0.422 0.662  0.00
P 0.660 0.085 0.320  -0.02
La 0.500 0.500 0.000  0.03
U 0.500 0.000 0.000  2.07
La 0.168 0.833 0.335  0.01
La 0.832 0.167 0.665  0.01
Th 0.835 0.668 0.669  0.02
Th 0.165 0.332 0.331  0.02
P 0.669 0.578 0.338  0.00

Results
DFT formation energy = -1463 meV per atom
magnetic moment = 2.36 μB/f.u.
electronic total energy = -90.9 eV for the cell shown
theoretical density = 7.03 g cm⁻³

The following is a DFT calculation (PBE-GGA) of LaHo2Cd after structural relaxation.

Cell: 3.670 3.670 8.914 Å, 90.00 90.00 90.00°
Positions (direct):
Ho 0.000 0.000 0.217
La 0.500 0.500 0.500
Ho 0.000 0.000 0.783
Cd 0.500 0.500 0.000

Results
DFT formation energy = -135 meV per atom
magnetic moment = 0.00 μB/f.u.
energy above the lowest structure with this stoichiometry = 0.011 eV per atom
electronic total energy = -15.5 eV for the cell shown
theoretical density = 8.04 g cm⁻³